VASP calculation (GGA-PBE) on a relaxed structure of Tb8GaCu2.

Output
space group	No. 12
ΔE to the lowest computed polymorph	0	meV/atom
magnetization	0.00	μB/cell
formation energy	-0.18	eV/atom
crystal system	monoclinic

Cell and atoms, written as POSCAR:
```
Tb8GaCu2
1.0
-1.185 0.307 -4.947
-6.607 -1.027 1.519
2.093 8.522 2.653
Tb Ga Cu
8 1 2
Direct
0.407 0.536 0.813
0.593 0.464 0.187
0.803 0.673 0.606
0.968 0.218 0.936
0.674 0.988 0.347
0.326 0.012 0.653
0.032 0.782 0.064
0.197 0.327 0.394
0.500 0.000 0.000
0.819 0.283 0.639
0.181 0.717 0.361
```